A plane-wave DFT calculation with PBE-GGA was carried out for an optimized crystal structure of Ba8AsPd3I4.

Unit cell a=9.4737 b=10.2137 c=9.4744 alpha=117.63 beta=120.00 gamma=90.00
Closest atoms and distances in Å follow each position.
Sites, in units of the cell vectors:
Ba: 0.2345 0.6998 0.9653  2 Pd 3.22, 1 As 3.25
Ba: 0.2346 0.6998 0.4691  2 Pd 3.22, 1 As 3.25
Ba: 0.2627 0.2881 0.5254  3 Pd 3.29
Ba: 0.7308 0.6998 0.9653  2 Pd 3.22, 1 As 3.25
Ba: 0.2692 0.3002 0.0347  2 Pd 3.22, 1 As 3.25
Ba: 0.7373 0.7119 0.4746  3 Pd 3.29
Ba: 0.7654 0.3002 0.5309  2 Pd 3.22, 1 As 3.25
Ba: 0.7655 0.3002 0.0347  2 Pd 3.22, 1 As 3.25
As: 0.0000 0.5000 0.0000  6 Ba 3.25
Pd: 0.5000 0.5000 0.0000  6 Ba 3.22-3.29
Pd: 0.5000 0.5000 0.5000  6 Ba 3.22-3.29
Pd: 0.0000 0.5000 0.5000  6 Ba 3.22-3.29
I: 0.5000 0.0000 0.0000  6 Ba 3.75
I: 0.5000 0.0000 0.5000  6 Ba 3.70-3.77
I: 0.0000 0.0000 0.0000  6 Ba 3.70-3.77
I: 0.0000 0.0000 0.5000  6 Ba 3.70-3.77

---

A plane-wave DFT calculation with PBE-GGA was carried out for an optimized crystal structure of Ba8As3PdI4.

Unit cell a=9.6572 b=10.0865 c=9.6563 alpha=118.60 beta=120.00 gamma=90.00
Closest atoms and distances in Å follow each position.
Sites, in units of the cell vectors:
Ba: 0.2356 0.7044 0.9689  2 As 3.27, 1 Pd 3.29
Ba: 0.2354 0.7043 0.4708  2 As 3.27, 1 Pd 3.28
Ba: 0.2643 0.2930 0.5286  3 As 3.29
Ba: 0.7333 0.7044 0.9689  2 As 3.27, 1 Pd 3.29
Ba: 0.2667 0.2956 0.0311  2 As 3.27, 1 Pd 3.29
Ba: 0.7357 0.7070 0.4714  3 As 3.29
Ba: 0.7646 0.2957 0.5292  2 As 3.27, 1 Pd 3.28
Ba: 0.7644 0.2956 0.0311  2 As 3.27, 1 Pd 3.29
As: 0.5000 0.5000 0.0000  6 Ba 3.27-3.29
As: 0.5000 0.5000 0.5000  6 Ba 3.27-3.29
As: 0.0000 0.5000 0.5000  6 Ba 3.27-3.29
Pd: 0.0000 0.5000 0.0000  6 Ba 3.28-3.29
I: 0.5000 0.0000 0.0000  6 Ba 3.72-3.73
I: 0.5000 0.0000 0.5000  6 Ba 3.72-3.74
I: 0.0000 0.0000 0.0000  6 Ba 3.72-3.74
I: 0.0000 0.0000 0.5000  6 Ba 3.72-3.74

---

A plane-wave DFT calculation with PBE-GGA was carried out for an optimized crystal structure of Ba8As3PtI4.

Unit cell a=9.6237 b=10.1011 c=9.6290 alpha=118.46 beta=119.98 gamma=90.00
Closest atoms and distances in Å follow each position.
Sites, in units of the cell vectors:
Ba: 0.2324 0.7021 0.9698  1 Pt 3.24, 2 As 3.27
Ba: 0.2336 0.7034 0.4672  1 Pt 3.26, 2 As 3.27
Ba: 0.2648 0.2941 0.5295  3 As 3.28
Ba: 0.7374 0.7021 0.9698  1 Pt 3.24, 2 As 3.27
Ba: 0.2626 0.2979 0.0302  1 Pt 3.24, 2 As 3.27
Ba: 0.7352 0.7059 0.4705  3 As 3.28
Ba: 0.7664 0.2966 0.5328  1 Pt 3.26, 2 As 3.27
Ba: 0.7676 0.2979 0.0302  1 Pt 3.24, 2 As 3.27
As: 0.5000 0.5000 0.0000  6 Ba 3.27-3.28
As: 0.5000 0.5000 0.5000  6 Ba 3.27-3.28
As: 0.0000 0.5000 0.5000  6 Ba 3.27-3.28
Pt: 0.0000 0.5000 0.0000  6 Ba 3.24-3.26
I: 0.5000 0.0000 0.0000  6 Ba 3.75-3.77
I: 0.5000 0.0000 0.5000  6 Ba 3.72-3.74
I: 0.0000 0.0000 0.0000  6 Ba 3.73-3.74
I: 0.0000 0.0000 0.5000  6 Ba 3.72-3.74

---

A plane-wave DFT calculation with PBE-GGA was carried out for an optimized crystal structure of Ba6As2PtI3.

Unit cell a=8.2975 b=8.2975 c=8.9034 alpha=99.00 beta=99.00 gamma=119.97
Closest atoms and distances in Å follow each position.
Sites, in units of the cell vectors:
Ba: 0.9321 0.6030 0.7968  1 Pt 3.23, 2 As 3.27-3.28
Ba: 0.7391 0.7391 0.2043  1 Pt 3.23, 2 As 3.27
Ba: 0.0679 0.3970 0.2032  1 Pt 3.23, 2 As 3.27-3.28
Ba: 0.6030 0.9321 0.7968  1 Pt 3.23, 2 As 3.27-3.28
Ba: 0.2609 0.2609 0.7957  1 Pt 3.23, 2 As 3.27
Ba: 0.3970 0.0679 0.2032  1 Pt 3.23, 2 As 3.27-3.28
As: 0.3338 0.6662 0.0000  6 Ba 3.27-3.28
As: 0.6662 0.3338 0.0000  6 Ba 3.27-3.28
Pt: 0.0000 0.0000 0.0000  6 Ba 3.23
I: 0.1698 0.8302 0.5000  6 Ba 3.73-3.74
I: 0.8302 0.1698 0.5000  6 Ba 3.73-3.74
I: 0.5000 0.5000 0.5000  6 Ba 3.72-3.76

---

Asked for spin magnetization across the records above, the calculation gives 0.36 0.71 0.99 0.98 μB per formula unit in order.
Asked for energy relative to the elements, uncorrected across the records above, the calculation gives -105.3 -128.6 -132.2 -128.8 kJ/mol of atoms in order.
Asked for energy across the records above, the calculation gives -59.27 -62.05 -63.49 -47.55 eV/cell in order.